5
Lattice="-4.5183 0.5669 1.2967 0.6346 -3.0659 3.5518 3.3181 5.1262 0.6762" Properties=species:S:1:pos:R:3 comment="SrTl2Cu2 GGA-PBEsol relaxed" e_tot_ev_per_fu=-16.00 n_ef_per_ev_cell=2.43 delta_e_f_kj_per_mol_fu=-22 spacegroup="I4/mmm (139)" pbc="T T T"
Cu -1.5711 2.2218 2.1986
Cu 1.0054 0.4054 3.3262
Tl -1.5491 -0.1432 3.3091
Tl 0.9835 2.7704 2.2157
Sr 0.0000 0.0000 0.0000

***

3
Lattice="4.1260 0.0000 0.0000 0.0000 4.6505 0.0000 0.0000 -2.3253 4.0275" Properties=species:S:1:pos:R:3 comment="SrTlCu GGA-PBEsol relaxed" e_tot_ev_per_fu=-9.33 n_ef_per_ev_cell=1.60 delta_e_f_kj_per_mol_fu=-51 spacegroup="P-6m2 (187)" pbc="T T T"
Cu 2.0630 0.0000 0.0000
Tl 2.0630 2.3253 1.3425
Sr 0.0000 0.0000 2.6850

***

4
Lattice="4.6308 0.0000 0.0000 2.3154 4.0104 0.0000 2.3154 1.3368 3.7811" Properties=species:S:1:pos:R:3 comment="SrCuW2 GGA-PBEsol relaxed" e_tot_ev_per_fu=-29.57 n_ef_per_ev_cell=3.88 delta_e_f_kj_per_mol_fu=407 spacegroup="F-43m (216)" pbc="T T T"
Cu 4.6308 2.6736 1.8905
W 6.9462 4.0104 2.8358
Sr 2.3154 1.3368 0.9453
W 0.0000 0.0000 0.0000